Record 1
VASP calculation (GGA-PBE) on a relaxed BaNaV crystal.

## Properties
* density of states at the Fermi level: 0.884 states/eV per atom
* SG: Cm, No. 8
* E above lowest polymorph: 142 meV/atom
* energy of formation: 0.6277 eV/atom

Cell lengths 9.2107, 6.3075, 6.3075 Å; angles 110.93, 130.02, 49.98 degrees
With the nearest neighbours (Å) after each atom.
Fractional coordinates of all 6 atoms:
1 Ba 0.9091 0.3487 0.6513  2 Na 3.59-3.92, 4 V 3.60-3.78, 2 Ba 3.88-3.94
2 V 0.6253 0.1214 0.6233  1 V 1.83
3 Na 0.0983 0.5465 0.4535  1 Na 3.12, 2 V 3.24
4 Na 0.5714 0.9794 0.0206  1 Na 3.12, 4 V 3.33-3.35
5 Ba 0.2374 0.7884 0.2116  3 Na 3.60-4.03, 4 V 3.66-3.71, 2 Ba 3.88-3.94
6 V 0.6253 0.3767 0.8786  1 V 1.83

=====

Record 2
VASP calculation (GGA-PBE) on a relaxed CrCoPt crystal.

## Properties
* density of states at the Fermi level: 1.315 states/eV per atom
* SG: P-6m2, No. 187
* E above lowest polymorph: 78 meV/atom
* energy of formation: -0.0155 eV/atom

Cell lengths 4.0671, 4.0671, 2.6415 Å; angles 90.00, 90.00, 120.00 degrees
With the nearest neighbours (Å) after each atom.
Fractional coordinates of all 3 atoms:
1 Cr 0.6667 0.3333 0.1665  3 Co 2.35
2 Pt 0.3333 0.6667 0.6665  2 Pt 2.64, 6 Co 2.69, 6 Cr 2.69
3 Co 0.0000 0.0000 0.1670  3 Cr 2.35

=====

Record 3
VASP calculation (GGA-PBE) on a relaxed In2CoSnI crystal.

## Properties
* raw formation energy: -0.16 eV/atom
* density of states at the Fermi level: 0.086 states/eV per atom
* SG: P4/mmm, No. 123

Cell lengths 5.1695, 5.1695, 4.9047 Å; angles 90.00, 90.00, 90.00 degrees
With the nearest neighbours (Å) after each atom.
Fractional coordinates of all 5 atoms:
1 In 0.5000 0.0000 0.0000  2 Co 2.58
2 Sn 0.0000 0.0000 0.5000  2 Co 2.45
3 Co 0.0000 0.0000 0.0000  2 Sn 2.45, 4 In 2.58
4 In 0.0000 0.5000 0.0000  2 Co 2.58
5 I 0.5000 0.5000 0.5000  8 In 3.56, 4 Sn 3.66

=====

Record 4
VASP calculation (GGA-PBE) on a relaxed NaSr2Pm crystal.

## Properties
* density of states at the Fermi level: 1.277 states/eV per atom
* SG: P4/mmm, No. 123
* E above lowest polymorph: 0 meV/atom
* energy of formation: 0.1124 eV/atom

Cell lengths 3.9055, 3.9055, 11.4850 Å; angles 90.00, 90.00, 90.00 degrees
With the nearest neighbours (Å) after each atom.
Fractional coordinates of all 4 atoms:
1 Sr 0.0000 0.0000 0.2540  4 Sr 3.91, 4 Pm 3.95, 4 Na 4.02
2 Sr 0.0000 0.0000 0.7460  4 Sr 3.91, 4 Pm 3.95, 4 Na 4.02
3 Pm 0.5000 0.5000 0.5000  4 Pm 3.91, 8 Sr 3.95
4 Na 0.5000 0.5000 0.0000  4 Na 3.91, 8 Sr 4.02

=====

Record 5
VASP calculation (GGA-PBE) on a relaxed Ta2Fe2Au crystal.

## Properties
* density of states at the Fermi level: 0.756 states/eV per atom
* SG: P4/mbm, No. 127
* E above lowest polymorph: 0 meV/atom
* energy of formation: -0.0755 eV/atom

Cell lengths 7.0587, 7.0587, 2.9950 Å; angles 90.00, 90.00, 90.00 degrees
With the nearest neighbours (Å) after each atom.
Fractional coordinates of all 10 atoms:
1 Ta 0.1609 0.6609 0.5000  6 Fe 2.53-2.58
2 Au 0.0000 0.0000 0.0000  4 Fe 2.75, 2 Au 3.00, 8 Ta 3.04
3 Fe 0.3649 0.8649 0.0000  6 Ta 2.53-2.58, 1 Fe 2.70, 2 Au 2.75
4 Au 0.5000 0.5000 0.0000  4 Fe 2.75, 2 Au 3.00, 8 Ta 3.04
5 Fe 0.8649 0.6351 0.0000  6 Ta 2.53-2.58, 1 Fe 2.70, 2 Au 2.75
6 Ta 0.3391 0.1609 0.5000  6 Fe 2.53-2.58
7 Ta 0.8391 0.3391 0.5000  6 Fe 2.53-2.58
8 Fe 0.1351 0.3649 0.0000  6 Ta 2.53-2.58, 1 Fe 2.70, 2 Au 2.75
9 Fe 0.6351 0.1351 0.0000  6 Ta 2.53-2.58, 1 Fe 2.70, 2 Au 2.75
10 Ta 0.6609 0.8391 0.5000  6 Fe 2.53-2.58

=====

Record 6
VASP calculation (GGA-PBE) on a relaxed TbSmErAl crystal.

## Properties
* density of states at the Fermi level: 1.641 states/eV per atom
* SG: F-43m, No. 216
* E above lowest polymorph: 128 meV/atom
* energy of formation: -0.0639 eV/atom

Cell lengths 5.3718, 5.3718, 5.3718 Å; angles 60.00, 60.00, 60.00 degrees
With the nearest neighbours (Å) after each atom.
Fractional coordinates of all 4 atoms:
1 Tb 0.0000 0.0000 0.0000  4 Er 3.29, 4 Al 3.29
2 Sm 0.5000 0.5000 0.5000  4 Er 3.29, 4 Al 3.29
3 Al 0.2500 0.2500 0.2500  4 Tb 3.29, 4 Sm 3.29
4 Er 0.7500 0.7500 0.7500  4 Sm 3.29, 4 Tb 3.29